No. 1
Entry from Alexandria via LeMat-Bulk: crystalline CoPdC3 at its relaxed geometry (PBE-GGA).

Its total magnetization is 0.00 μB per formula unit. The calculation puts the formation enthalpy at 0 K at 14.869 eV/f.u. The calculation puts the energy above the most stable polymorph in this dataset at 4.72 eV per formula unit. The mass density is 5.39 g/cm³.

The space group is Pm-3m (No. 221) and the conventional cell measures 3.958, 3.958 and 3.958 Å, with angles of 90.00, 90.00 and 90.00 degrees. The distinct sites, in fractional coordinates, are Co at (0.000, 0.000, 0.000), Pd at (0.500, 0.500, 0.500) and C at (0.000, 0.500, 0.500).

No. 2
Entry from Alexandria via LeMat-Bulk: crystalline Ba2LaTc at its relaxed geometry (PBE-GGA).

Its total magnetization is 0.00 μB per formula unit. The calculation puts the formation enthalpy at 0 K at 1.513 eV/f.u. The calculation puts the energy above the most stable polymorph in this dataset at 0.16 eV per formula unit. The mass density is 5.34 g/cm³.

The space group is Pm (No. 6) and the conventional cell measures 4.463, 3.762 and 9.725 Å, with angles of 90.00, 103.24 and 90.00 degrees. The distinct sites, in fractional coordinates, are Ba at (0.000, 0.000, 0.000), Ba at (0.311, 0.500, 0.624), La at (0.658, 0.000, 0.316) and Tc at (0.160, 0.500, 0.317).

No. 3
Entry from Alexandria via LeMat-Bulk: crystalline TlBF4 at its relaxed geometry (PBE-GGA).

Its total magnetization is 0.00 μB per formula unit. The calculation puts the energy above the most stable polymorph in this dataset at 3.27 eV per formula unit. The mass density is 4.91 g/cm³. For the energy relative to the elements, uncorrected, the calculation gives -2.102 eV/atom.

The space group is C2/c (No. 15) and the conventional cell measures 11.410, 5.039 and 7.163 Å, with angles of 90.00, 106.86 and 90.00 degrees. The distinct sites, in fractional coordinates, are Tl at (0.000, 0.239, 0.250), B at (0.250, 0.250, 0.000), F at (0.109, 0.296, 0.940) and F at (0.236, 0.019, 0.110).

No. 4
Entry from Alexandria via LeMat-Bulk: crystalline K2Tm2ZrS6 at its relaxed geometry (PBE-GGA).

Its total magnetization is 0.00 μB per formula unit. The mass density is 3.93 g/cm³. For the energy relative to the elements, uncorrected, the calculation gives -1.809 eV/atom.

The space group is C2/m (No. 12) and the conventional cell measures 6.749, 11.617 and 7.875 Å, with angles of 90.00, 106.82 and 90.00 degrees. The distinct sites, in fractional coordinates, are K at (0.000, 0.169, 0.000), Tm at (0.000, 0.333, 0.500), Zr at (0.000, 0.000, 0.500), S at (0.226, 0.161, 0.694) and S at (0.245, 0.500, 0.693).